[1]
DFT (PBE) results for crystalline YGa12Rh4 at its relaxed geometry.

```
YGa12Rh4
1.0
-1.7192 -4.7696 5.6350
-0.3935 -3.6668 -6.6226
7.0258 2.6641 0.9995
Rh Ga Y
4 12 1
Direct
0.5000 0.0000 0.0000 Rh
0.0000 0.5000 0.0000 Rh
0.0000 0.0000 0.5000 Rh
0.5000 0.5000 0.5000 Rh
0.6593 0.5018 0.8425 Ga
0.5018 0.8425 0.6593 Ga
0.8425 0.3407 0.1832 Ga
0.8425 0.6593 0.5018 Ga
0.3407 0.4982 0.1575 Ga
0.1832 0.8425 0.3407 Ga
0.1575 0.3407 0.4982 Ga
0.6593 0.8168 0.1575 Ga
0.1575 0.6593 0.8168 Ga
0.4982 0.1575 0.3407 Ga
0.3407 0.1832 0.8425 Ga
0.8168 0.1575 0.6593 Ga
0.0000 0.0000 0.0000 Y
```

total energy	-76.08	eV/cell
formation energy	-0.23	eV per atom
density	6.6	g/cm3
Fermi-level density of states	6.64	states/eV per cell


[2]
DFT (PBE) results for crystalline RbPr2SeO5 at its relaxed geometry.

```
RbPr2SeO5
1.0
-1.3735 -3.2613 6.0008
4.6676 -4.9166 -1.6036
2.7604 7.3637 0.5900
O Se Pr Rb
10 2 4 2
Direct
0.4866 0.2510 0.2375 O
0.2510 0.7510 0.2375 O
0.7510 0.9866 0.2375 O
0.5134 0.7490 0.7625 O
0.5000 0.5000 0.0000 O
0.0000 0.0000 0.0000 O
0.7490 0.2490 0.7625 O
0.2490 0.0134 0.7625 O
0.9866 0.4866 0.2375 O
0.0134 0.5134 0.7625 O
0.2500 0.7500 0.5000 Se
0.7500 0.2500 0.5000 Se
0.3236 0.8236 0.0000 Pr
0.6764 0.1764 0.0000 Pr
0.1764 0.3236 0.0000 Pr
0.8236 0.6764 0.0000 Pr
0.7500 0.7500 0.5000 Rb
0.2500 0.2500 0.5000 Rb
```

total energy	-114.00	eV/cell
density	5.8	g/cm3
Fermi-level density of states	4.83	states/eV per cell
raw formation energy	-18.20	eV per formula unit


[3]
DFT (PBE) results for crystalline CsK2Rb2Hg2 at its relaxed geometry.

```
CsK2Rb2Hg2
1.0
-3.2136 5.9775 2.0682
-0.6763 -1.6279 -8.5149
-4.5797 -5.3466 8.3370
Hg K Rb Cs
2 2 2 1
Direct
0.6869 0.3738 0.2852 Hg
0.3131 0.6262 0.7148 Hg
0.8171 0.6343 0.7183 K
0.1829 0.3657 0.2817 K
0.3964 0.7929 0.1213 Rb
0.6036 0.2071 0.8787 Rb
0.0000 0.0000 0.5000 Cs
```

total energy	-6.28	eV/cell
formation energy	-0.10	eV per atom
density	2.9	g/cm3
Fermi-level density of states	5.61	states/eV per cell